1.
# BaCd2Te

A geometry-optimized BaCd2Te structure (GGA-PBE, Alexandria).

Computed properties:
Theoretical density, g/cm³: 6.2
Space group: P4/mmm, No. 123

Lattice parameters (Å, degrees): 4.2287 4.2287 7.3250 90.00 90.00 90.00
Last column: nearest neighbours and their distance in Å.
Fractional positions:
Ba: 0.0000 0.0000 0.0000  2 Te 3.66, 8 Cd 3.68
Cd: 0.5000 0.5000 0.2921  1 Cd 3.05, 4 Te 3.36
Cd: 0.5000 0.5000 0.7079  1 Cd 3.05, 4 Te 3.36
Te: 0.0000 0.0000 0.5000  8 Cd 3.36, 2 Ba 3.66

2.
# Tb4PmPr2Mg

A geometry-optimized Tb4PmPr2Mg structure (GGA-PBE, Alexandria).

Computed properties:
Theoretical density, g/cm³: 7.0
Space group: Pmmm, No. 47
Formation energy, eV/atom: 0.0265

Lattice parameters (Å, degrees): 5.0108 5.0254 10.2759 90.00 90.00 90.00
Last column: nearest neighbours and their distance in Å.
Fractional positions:
Tb: 0.0000 0.0000 0.2473  4 Tb 3.55, 2 Mg 3.57, 4 Pr 3.57-3.61, 2 Pm 3.61
Tb: 0.0000 0.0000 0.7527  4 Tb 3.55, 2 Mg 3.57, 4 Pr 3.57-3.61, 2 Pm 3.61
Tb: 0.5000 0.5000 0.2473  4 Tb 3.55, 4 Pr 3.57-3.61, 2 Mg 3.57, 2 Pm 3.61
Tb: 0.5000 0.5000 0.7527  4 Tb 3.55, 4 Pr 3.57-3.61, 2 Mg 3.57, 2 Pm 3.61
Pm: 0.0000 0.5000 0.5000  4 Pr 3.55, 8 Tb 3.61
Pr: 0.0000 0.5000 0.0000  4 Mg 3.55, 8 Tb 3.57
Pr: 0.5000 0.0000 0.5000  4 Pm 3.55, 8 Tb 3.61
Mg: 0.5000 0.0000 0.0000  4 Pr 3.55, 8 Tb 3.57

3.
# KHgAs2Br

A geometry-optimized KHgAs2Br structure (GGA-PBE, Alexandria).

Computed properties:
Theoretical density, g/cm³: 2.5
Space group: P4/mmm, No. 123

Lattice parameters (Å, degrees): 7.2733 7.2733 6.0049 90.00 90.00 90.00
Last column: nearest neighbours and their distance in Å.
Fractional positions:
K: 0.0000 0.0000 0.0000  2 Br 3.00
Hg: 0.5000 0.5000 0.5000  8 As 4.72, 4 Br 5.14
As: 0.0000 0.5000 0.0000  2 K 3.64
As: 0.5000 0.0000 0.0000  2 K 3.64
Br: 0.0000 0.0000 0.5000  2 K 3.00

4.
# LaCo4Se

A geometry-optimized LaCo4Se structure (GGA-PBE, Alexandria).

Computed properties:
Theoretical density, g/cm³: 8.0
Space group: F-43m, No. 216

Lattice parameters (Å, degrees): 5.1114 5.1114 5.1114 60.00 60.00 60.00
Last column: nearest neighbours and their distance in Å.
Fractional positions:
La: 0.0000 0.0000 0.0000  12 Co 3.00, 4 Se 3.13
Co: 0.3758 0.3758 0.3758  6 Co 2.54-2.57
Co: 0.3758 0.3758 0.8726  6 Co 2.54-2.57
Co: 0.3758 0.8726 0.3758  6 Co 2.54-2.57
Co: 0.8726 0.3758 0.3758  6 Co 2.54-2.57
Se: 0.7500 0.7500 0.7500  12 Co 3.00, 4 La 3.13

5.
# AcThHgBi

A geometry-optimized AcThHgBi structure (GGA-PBE, Alexandria).

Computed properties:
Theoretical density, g/cm³: 11.2
Space group: F-43m, No. 216
Formation energy, eV/atom: -0.3678

Lattice parameters (Å, degrees): 5.6605 5.6605 5.6605 60.00 60.00 60.00
Last column: nearest neighbours and their distance in Å.
Fractional positions:
Ac: 0.0000 0.0000 0.0000  4 Hg 3.47, 4 Bi 3.47
Th: 0.5000 0.5000 0.5000  4 Hg 3.47, 4 Bi 3.47
Hg: 0.2500 0.2500 0.2500  4 Th 3.47, 4 Ac 3.47
Bi: 0.7500 0.7500 0.7500  4 Th 3.47, 4 Ac 3.47

6.
# La2SmY4Er2

A geometry-optimized La2SmY4Er2 structure (GGA-PBE, Alexandria).

Computed properties:
Theoretical density, g/cm³: 6.2
Space group: P-1, No. 2
Formation energy, eV/atom: 0.0258

Lattice parameters (Å, degrees): 6.2259 6.2505 8.0573 82.56 75.29 80.30
Last column: nearest neighbours and their distance in Å.
Fractional positions:
La: 0.1710 0.3311 0.3335  4 Er 3.55-3.63, 6 Y 3.59-3.63, 1 Sm 3.59, 1 La 3.64
La: 0.8290 0.6689 0.6665  4 Er 3.55-3.63, 6 Y 3.59-3.63, 1 Sm 3.59, 1 La 3.64
Sm: 0.5000 0.0000 0.0000  8 Y 3.57-3.62, 2 La 3.59, 2 Er 3.61
Y: 0.0577 0.1102 0.7789  2 Sm 3.57-3.61, 4 Y 3.58-3.62, 3 Er 3.59-3.62, 3 La 3.61-3.63
Y: 0.2765 0.5543 0.8875  5 Y 3.58-3.62, 3 La 3.59-3.62, 2 Er 3.59, 2 Sm 3.60-3.62
Y: 0.7235 0.4457 0.1125  5 Y 3.58-3.62, 3 La 3.59-3.62, 2 Er 3.59, 2 Sm 3.60-3.62
Y: 0.9423 0.8898 0.2211  2 Sm 3.57-3.61, 4 Y 3.58-3.62, 3 Er 3.59-3.62, 3 La 3.61-3.63
Er: 0.3913 0.7767 0.4448  4 La 3.55-3.63, 2 Er 3.58-3.60, 5 Y 3.59-3.62, 1 Sm 3.61
Er: 0.6087 0.2233 0.5552  4 La 3.55-3.63, 2 Er 3.58-3.60, 5 Y 3.59-3.62, 1 Sm 3.61

7.
# LaPr2Al3

A geometry-optimized LaPr2Al3 structure (GGA-PBE, Alexandria).

Computed properties:
Theoretical density, g/cm³: 5.2
Space group: Cmmm, No. 65
Formation energy, eV/atom: -0.3443

Lattice parameters (Å, degrees): 8.4292 8.4292 7.5653 90.00 90.00 143.15
Last column: nearest neighbours and their distance in Å.
Fractional positions:
La: 0.1668 0.8332 0.0000  8 Al 3.28-3.30
La: 0.8332 0.1668 0.0000  8 Al 3.28-3.30
Pr: 0.1682 0.8318 0.5000  8 Al 3.25-3.27
Pr: 0.5000 0.5000 0.0000  8 Al 3.26-3.29
Pr: 0.5000 0.5000 0.5000  8 Al 3.23-3.25
Pr: 0.8318 0.1682 0.5000  8 Al 3.25-3.27
Al: 0.0000 0.0000 0.2544  6 Pr 3.25-3.29, 2 La 3.29
Al: 0.0000 0.0000 0.7456  6 Pr 3.25-3.29, 2 La 3.29
Al: 0.3350 0.6650 0.2538  5 Pr 3.23-3.26, 3 La 3.28-3.30
Al: 0.3350 0.6650 0.7462  5 Pr 3.23-3.26, 3 La 3.28-3.30
Al: 0.6650 0.3350 0.2538  5 Pr 3.23-3.26, 3 La 3.28-3.30
Al: 0.6650 0.3350 0.7462  5 Pr 3.23-3.26, 3 La 3.28-3.30

8.
# Tb7ErTm2

A geometry-optimized Tb7ErTm2 structure (GGA-PBE, Alexandria).

Computed properties:
Theoretical density, g/cm³: 6.9
Space group: Cmmm, No. 65
Formation energy, eV/atom: 0.6889

Lattice parameters (Å, degrees): 9.3933 9.3933 5.3431 90.00 90.00 124.92
Last column: nearest neighbours and their distance in Å.
Fractional positions:
Tb: 0.0000 0.0000 0.0000  4 Tb 3.35, 2 Tm 3.38
Tb: 0.2106 0.4329 0.0000  4 Tb 3.10-3.45, 2 Tm 3.19-3.46
Tb: 0.2971 0.7029 0.5000  2 Tm 3.10, 1 Er 3.38, 4 Tb 3.45
Tb: 0.4329 0.2106 0.0000  4 Tb 3.10-3.45, 2 Tm 3.19-3.46
Tb: 0.5671 0.7894 0.0000  4 Tb 3.10-3.45, 2 Tm 3.19-3.46
Tb: 0.7029 0.2971 0.5000  2 Tm 3.10, 1 Er 3.38, 4 Tb 3.45
Tb: 0.7894 0.5671 0.0000  4 Tb 3.10-3.45, 2 Tm 3.19-3.46
Er: 0.5000 0.5000 0.5000  10 Tb 3.38-3.60
Tm: 0.2029 0.7971 0.0000  7 Tb 3.10-3.46
Tm: 0.7971 0.2029 0.0000  7 Tb 3.10-3.46

9.
# AcNd2Ni2

A geometry-optimized AcNd2Ni2 structure (GGA-PBE, Alexandria).

Computed properties:
Theoretical density, g/cm³: 7.8
Space group: C2/m, No. 12
Formation energy, eV/atom: -0.1610

Lattice parameters (Å, degrees): 6.2824 6.2824 5.7228 104.02 104.02 37.95
Last column: nearest neighbours and their distance in Å.
Fractional positions:
Ac: 0.0000 0.0000 0.0000  6 Ni 3.30-3.47
Nd: 0.3476 0.3476 0.4095  4 Ni 2.82-3.10
Nd: 0.6524 0.6524 0.5905  4 Ni 2.82-3.10
Ni: 0.2742 0.2742 0.8916  2 Ni 2.53, 2 Nd 2.82
Ni: 0.7258 0.7258 0.1084  2 Ni 2.53, 2 Nd 2.82

10.
# LiSc2ZnBi

A geometry-optimized LiSc2ZnBi structure (GGA-PBE, Alexandria).

Computed properties:
Theoretical density, g/cm³: 4.2
Space group: P4/mmm, No. 123
Formation energy, eV/atom: 0.3166

Lattice parameters (Å, degrees): 5.5130 5.5130 4.8839 90.00 90.00 90.00
Last column: nearest neighbours and their distance in Å.
Fractional positions:
Li: 0.0000 0.0000 0.0000  2 Bi 2.44
Sc: 0.0000 0.5000 0.5000  2 Bi 2.76
Sc: 0.5000 0.0000 0.5000  2 Bi 2.76
Zn: 0.5000 0.5000 0.0000  8 Sc 3.68, 4 Li 3.90
Bi: 0.0000 0.0000 0.5000  2 Li 2.44

11.
# Cs2LiMnBr6

A geometry-optimized Cs2LiMnBr6 structure (GGA-PBE, Alexandria).

Computed properties:
Theoretical density, g/cm³: 4.0
Space group: P-3m1, No. 164

Lattice parameters (Å, degrees): 7.6840 7.6840 6.5469 90.00 90.00 120.00
Last column: nearest neighbours and their distance in Å.
Fractional positions:
Cs: 0.3333 0.6667 0.2637  12 Br 3.84-4.20
Cs: 0.6667 0.3333 0.7363  12 Br 3.84-4.20
Li: 0.0000 0.0000 0.0000  6 Br 2.73
Mn: 0.0000 0.0000 0.5000  6 Br 2.58
Br: 0.1568 0.3135 0.7312  1 Mn 2.58, 1 Li 2.73
Br: 0.1568 0.8432 0.7312  1 Mn 2.58, 1 Li 2.73
Br: 0.3135 0.1568 0.2688  1 Mn 2.58, 1 Li 2.73
Br: 0.6865 0.8432 0.7312  1 Mn 2.58, 1 Li 2.73
Br: 0.8432 0.1568 0.2688  1 Mn 2.58, 1 Li 2.73
Br: 0.8432 0.6865 0.2688  1 Mn 2.58, 1 Li 2.73

12.
# CsMgSO4

A geometry-optimized CsMgSO4 structure (GGA-PBE, Alexandria).

Computed properties:
Theoretical density, g/cm³: 3.6
Space group: P2_1/m, No. 11

Lattice parameters (Å, degrees): 5.3497 5.6315 7.8154 90.00 92.00 90.00
Last column: nearest neighbours and their distance in Å.
Fractional positions:
Cs: 0.2421 0.2500 0.1157  5 O 2.97-3.17
Cs: 0.7579 0.7500 0.8843  5 O 2.97-3.17
Mg: 0.1923 0.7500 0.4698  6 O 2.08-2.32
Mg: 0.8077 0.2500 0.5302  6 O 2.08-2.32
S: 0.3208 0.2500 0.6632  3 O 1.54-1.62
S: 0.6792 0.7500 0.3368  3 O 1.54-1.62
O: 0.1325 0.0249 0.6500  1 S 1.62
O: 0.1325 0.4751 0.6500  1 S 1.62
O: 0.3833 0.7500 0.2418  1 S 1.72
O: 0.4187 0.2500 0.4806  1 S 1.54
O: 0.5813 0.7500 0.5194  1 S 1.54
O: 0.6167 0.2500 0.7582  1 S 1.72
O: 0.8675 0.5249 0.3500  1 S 1.62
O: 0.8675 0.9751 0.3500  1 S 1.62

Let's list final energy in order: -8.58; -34.21; -9.09; -36.51; -17.18; -49.32; -55.56; -39.03; -26.01; -18.15; -36.10; -74.68 eV for the cell shown.